Entry 1:
DFT (PBE) results for NbSiPbO6 after structural relaxation.

Cell lengths 5.1423, 5.1423, 4.9610 Å; angles 90.00, 90.00, 120.00 degrees
With the nearest neighbours (Å) after each atom.
Fractional positions:
1 Nb 0.0000 0.0000 0.0000  6 O 2.01
2 Si 0.3333 0.6667 0.0000  6 O 1.81
3 Pb 0.6667 0.3333 0.5000  6 O 2.43
4 O 0.0591 0.3618 0.2059  1 Si 1.81, 1 Nb 2.01
5 O 0.0591 0.6973 0.7941  1 Si 1.81, 1 Nb 2.01
6 O 0.3027 0.3618 0.7941  1 Si 1.81, 1 Nb 2.01
7 O 0.3027 0.9409 0.2059  1 Si 1.81, 1 Nb 2.01
8 O 0.6382 0.6973 0.2059  1 Si 1.81, 1 Nb 2.01
9 O 0.6382 0.9409 0.7941  1 Si 1.81, 1 Nb 2.01

Results
Electronic total energy = -7.504 eV per atom
Density of states at the Fermi level = 2.72 states/eV per cell
ΔE_f (raw) = -2.06 eV/atom
Symmetry = P312 (149)



Entry 2:
DFT (PBE) results for CaCdIn14 after structural relaxation.

Cell lengths 7.0915, 7.0915, 8.5737 Å; angles 90.00, 90.00, 90.11 degrees
With the nearest neighbours (Å) after each atom.
Fractional positions:
1 Ca 0.0000 0.0000 0.0000  12 In 3.36-3.55
2 Cd 0.5000 0.5000 0.0000  12 In 3.24-3.55
3 In 0.0000 0.0000 0.5000  12 In 3.35-3.55
4 In 0.0000 0.5000 0.0000  8 In 3.30-3.31, 2 Cd 3.55, 2 Ca 3.55
5 In 0.0000 0.5000 0.5000  12 In 3.29-3.55
6 In 0.2580 0.2580 0.2508  8 In 3.23-3.43, 1 Cd 3.24, 1 Ca 3.36
7 In 0.2580 0.2580 0.7492  8 In 3.23-3.43, 1 Cd 3.24, 1 Ca 3.36
8 In 0.2578 0.7422 0.2509  8 In 3.24-3.43, 1 Cd 3.25, 1 Ca 3.37
9 In 0.2578 0.7422 0.7491  8 In 3.24-3.43, 1 Cd 3.25, 1 Ca 3.37
10 In 0.5000 0.0000 0.0000  8 In 3.30-3.31, 2 Cd 3.55, 2 Ca 3.55
11 In 0.5000 0.0000 0.5000  12 In 3.29-3.55
12 In 0.5000 0.5000 0.5000  12 In 3.23-3.55
13 In 0.7422 0.2578 0.2509  8 In 3.24-3.43, 1 Cd 3.25, 1 Ca 3.37
14 In 0.7422 0.2578 0.7491  8 In 3.24-3.43, 1 Cd 3.25, 1 Ca 3.37
15 In 0.7420 0.7420 0.2508  8 In 3.23-3.43, 1 Cd 3.24, 1 Ca 3.36
16 In 0.7420 0.7420 0.7492  8 In 3.23-3.43, 1 Cd 3.24, 1 Ca 3.36

Results
Electronic total energy = -2.633 eV per atom
Density of states at the Fermi level = 6.04 states/eV per cell
Symmetry = Cmmm (65)
E_form = -0.05 eV/atom